<i>
A relaxed structure of TbMgSc4, computed with PBE.

Summary:
The crystal system is monoclinic. The space group is C2/c, No. 15.

POSCAR file:
```
TbMgSc4
1.0
-2.9014 4.8892 0.5515
-3.0187 1.9748 -4.4288
-10.4406 -3.2521 2.1490
Sc Mg Tb
8 2 2
direct
0.1688 0.6627 0.5033 Sc
0.7468 0.5814 0.7493 Sc
0.5814 0.7468 0.2493 Sc
0.3373 0.8312 0.9967 Sc
0.6627 0.1688 0.0033 Sc
0.8312 0.3373 0.4967 Sc
0.4186 0.2532 0.7507 Sc
0.2532 0.4186 0.2507 Sc
0.0740 0.9260 0.7500 Mg
0.9260 0.0740 0.2500 Mg
0.0000 0.5000 0.0000 Tb
0.5000 0.0000 0.5000 Tb
```

<ii>
A relaxed structure of TbMgSc4, computed with PBE.

Summary:
The crystal system is tetragonal. The space group is P4/mmm, No. 123.

POSCAR file:
```
TbMgSc4
1.0
3.3339 -0.1580 0.0001
0.1581 3.3339 0.0001
-0.0003 -0.0004 13.6632
Sc Tb Mg
4 1 1
direct
0.0000 0.0000 0.3408 Sc
0.0000 0.0000 0.6592 Sc
0.5000 0.5000 0.8208 Sc
0.5000 0.5000 0.1792 Sc
0.0000 0.0000 0.0000 Tb
0.5000 0.5000 0.5000 Mg
```

So which one wins? Going from most stable to least: <ii>, <i>.

<i>
A relaxed structure of Tb6MgSc2, computed with PBE.

Summary:
The crystal system is tetragonal. The space group is P4_2/mnm, No. 136.

POSCAR file:
```
Tb6MgSc2
1.0
4.9586 0.0000 0.2087
0.0000 10.3211 0.0000
-0.4331 0.0000 10.3103
Tb Sc Mg
12 4 2
direct
0.5000 0.8411 0.3413 Tb
0.5000 0.1589 0.6587 Tb
0.5000 0.4969 0.6689 Tb
0.5000 0.5031 0.3311 Tb
0.5000 0.8311 0.0033 Tb
0.0000 0.0031 0.1689 Tb
0.5000 0.1689 0.9967 Tb
0.0000 0.3311 0.4967 Tb
0.0000 0.6589 0.8413 Tb
0.0000 0.3411 0.1587 Tb
0.0000 0.9969 0.8311 Tb
0.0000 0.6689 0.5033 Tb
0.5000 0.1736 0.3262 Sc
0.5000 0.8264 0.6738 Sc
0.0000 0.3264 0.8262 Sc
0.0000 0.6736 0.1738 Sc
0.5000 0.5000 0.0000 Mg
0.0000 0.0000 0.5000 Mg
```

<ii>
A relaxed structure of Tb6MgSc2, computed with PBE.

Summary:
The crystal system is monoclinic. The space group is C2/m, No. 12.

POSCAR file:
```
Tb6MgSc2
1.0
3.1756 0.0000 1.0500
0.3890 8.8028 4.1507
-1.4504 1.0281 9.7140
Sc Tb Mg
2 6 1
direct
0.1679 0.8348 0.8294 Sc
0.8321 0.1652 0.1706 Sc
0.1815 0.4686 0.1683 Tb
0.8185 0.5314 0.8317 Tb
0.9989 0.8340 0.1682 Tb
0.3378 0.8415 0.4829 Tb
0.0011 0.1660 0.8318 Tb
0.6622 0.1585 0.5171 Tb
0.0000 0.5000 0.5000 Mg
```

So which one wins? Going from most stable to least: <i>, <ii>.

<i>
A relaxed structure of TbMg3Sc, computed with PBE.

Summary:
The crystal system is orthorhombic. The space group is Imma, No. 74.

POSCAR file:
```
TbMg3Sc
1.0
5.6962 0.0000 0.0000
2.8481 6.8640 -2.0486
2.8481 -0.8202 7.1161
Tb Mg Sc
2 6 2
direct
0.0000 0.5000 0.5000 Tb
0.5000 0.0000 0.0000 Tb
0.0000 0.0000 0.5000 Mg
0.4332 0.3729 0.7606 Mg
0.9332 0.2606 0.8729 Mg
0.0668 0.7394 0.1271 Mg
0.5000 0.0000 0.5000 Mg
0.5668 0.6271 0.2394 Mg
0.2500 0.7778 0.7222 Sc
0.7500 0.2222 0.2778 Sc
```

<ii>
A relaxed structure of TbMg3Sc, computed with PBE.

Summary:
The crystal system is monoclinic. The space group is P2_1/m, No. 11.

POSCAR file:
```
TbMg3Sc
1.0
6.4088 0.0000 0.0000
0.0000 4.6413 -2.6222
0.0001 1.2018 7.8210
Mg Tb Sc
6 2 2
direct
0.9931 0.8110 0.1205 Mg
0.2500 0.3591 0.2421 Mg
0.7500 0.6409 0.7579 Mg
0.0069 0.1890 0.8795 Mg
0.5069 0.8110 0.1205 Mg
0.4931 0.1890 0.8795 Mg
0.2500 0.5899 0.6978 Tb
0.7500 0.4101 0.3022 Tb
0.2500 0.9721 0.4732 Sc
0.7500 0.0279 0.5268 Sc
```

So which one wins? Going from most stable to least: <ii>, <i>.